(1)
# TiFeReNi2

A relaxed structure of TiFeReNi2 (PBE-GGA, Alexandria via LeMat-Bulk).

It has space group P4/mmm (No. 123), with a = 4.226 Å, b = 4.226 Å, c = 4.392 Å, α = 90.00°, β = 90.00° and γ = 90.00°. Symmetry generates all atoms from Ti at (0.000, 0.000, 0.000), Fe at (0.500, 0.500, 0.500), Re at (0.500, 0.500, 0.000) and Ni at (0.000, 0.500, 0.500).

The value obtained for the formation energy is 4.65 eV/f.u. For the total energy, the calculation gives -7.143 eV/atom. The total magnetic moment comes out at 3.1 μB per cell. As for the density: 8.621 g/cm3.

***

(2)
# TlFe2ReNi

A relaxed structure of TlFe2ReNi (PBE-GGA, Alexandria via LeMat-Bulk).

It has space group P4/mmm (No. 123), with a = 4.320 Å, b = 4.320 Å, c = 4.657 Å, α = 90.00°, β = 90.00° and γ = 90.00°. Symmetry generates all atoms from Tl at (0.000, 0.000, 0.000), Fe at (0.000, 0.500, 0.500), Re at (0.500, 0.500, 0.000) and Ni at (0.000, 0.000, 0.500).

The value obtained for the formation energy is 7.39 eV/f.u. For the total energy, the calculation gives -6.026 eV/atom. The total magnetic moment comes out at 7.7 μB per cell. As for the density: 10.720 g/cm3.

***

(3)
# Y2FeReNi

A relaxed structure of Y2FeReNi (PBE-GGA, Alexandria via LeMat-Bulk).

It has space group P4/mmm (No. 123), with a = 5.350 Å, b = 5.350 Å, c = 4.461 Å, α = 90.00°, β = 90.00° and γ = 90.00°. Symmetry generates all atoms from Y at (0.000, 0.500, 0.000), Fe at (0.000, 0.000, 0.500), Re at (0.500, 0.500, 0.000) and Ni at (0.500, 0.500, 0.500).

The value obtained for the formation energy is 4.68 eV/f.u. For the total energy, the calculation gives -6.988 eV/atom. The total magnetic moment comes out at 3.0 μB per cell. As for the density: 6.223 g/cm3.

***

(4)
# ZrFe2ReNi

A relaxed structure of ZrFe2ReNi (PBE-GGA, Alexandria via LeMat-Bulk).

It has space group P4/mmm (No. 123), with a = 4.508 Å, b = 4.508 Å, c = 4.812 Å, α = 90.00°, β = 90.00° and γ = 90.00°. Symmetry generates all atoms from Zr at (0.000, 0.000, 0.000), Fe at (0.000, 0.500, 0.000), Re at (0.000, 0.000, 0.500) and Ni at (0.500, 0.500, 0.500).

The value obtained for the formation energy is 10.63 eV/f.u. For the total energy, the calculation gives -6.615 eV/atom. The total magnetic moment comes out at 5.1 μB per cell. As for the density: 7.603 g/cm3.

***

(5)
# Fe2Ni2Rh15

A relaxed structure of Fe2Ni2Rh15 (PBE-GGA, Alexandria via LeMat-Bulk).

It has space group R-3m (No. 166, hexagonal axes), with a = 8.7709 Å, b = 8.7709 Å, c = 13.3044 Å, α = 90.00°, β = 90.00° and γ = 120.00°. Symmetry generates all atoms from Fe at (0.0000, 0.0000, 0.2217), Ni at (0.0000, 0.0000, 0.4062), Rh at (0.0000, 0.3009, 0.5000), Rh at (0.0000, 0.5000, 0.0000) and Rh at (0.0010, 0.5005, 0.6470).

The value obtained for the formation energy is 7.30 eV/f.u. For the total energy, the calculation gives -6.919 eV/atom. The total magnetic moment comes out at 36.1 μB per cell. As for the density: 9.963 g/cm3.

***

(6)
# FeNi8Rh2

A relaxed structure of FeNi8Rh2 (PBE-GGA, Alexandria via LeMat-Bulk).

It has space group C2/m (No. 12), with a = 6.591 Å, b = 12.497 Å, c = 4.371 Å, α = 90.00°, β = 130.93° and γ = 90.00°. Symmetry generates all atoms from Fe at (0.000, 0.000, 0.000), Ni at (0.000, 0.194, 0.000), Ni at (0.015, 0.500, 0.763), Ni at (0.238, 0.134, 0.735) and Rh at (0.000, 0.316, 0.500).

The value obtained for the formation energy is 2.07 eV/f.u. The value obtained for the energy above the most stable polymorph in this dataset is 55 meV/atom. For the total energy, the calculation gives -6.123 eV/atom. The total magnetic moment comes out at 20.5 μB per cell. As for the density: 8.928 g/cm3.

***

(7)
# FeNiRh2

A relaxed structure of FeNiRh2 (PBE-GGA, Alexandria via LeMat-Bulk).

It has space group I-42d (No. 122), with a = 6.537 Å, b = 6.537 Å, c = 5.326 Å, α = 90.00°, β = 90.00° and γ = 90.00°. Symmetry generates all atoms from Fe at (0.000, 0.000, 0.000), Ni at (0.000, 0.000, 0.500) and Rh at (0.242, 0.250, 0.125).

The value obtained for the formation energy is 1.85 eV/f.u. For the total energy, the calculation gives -6.775 eV/atom. The total magnetic moment comes out at 9.8 μB per cell. As for the density: 9.349 g/cm3.

***

(8)
# Fe2Ni5Rh

A relaxed structure of Fe2Ni5Rh (PBE-GGA, Alexandria via LeMat-Bulk).

It has space group Pbam (No. 55), with a = 5.120 Å, b = 10.212 Å, c = 3.570 Å, α = 90.00°, β = 90.00° and γ = 90.00°. Symmetry generates all atoms from Fe at (0.246, 0.128, 0.000), Ni at (0.000, 0.000, 0.500), Ni at (0.005, 0.248, 0.500), Ni at (0.241, 0.872, 0.000) and Rh at (0.000, 0.500, 0.500).

The value obtained for the formation energy is -0.64 eV/f.u. For the total energy, the calculation gives -6.728 eV/atom. The total magnetic moment comes out at 20.5 μB per cell. As for the density: 9.039 g/cm3.

***

(9)
# FeNi3Rh

A relaxed structure of FeNi3Rh (PBE-GGA, Alexandria via LeMat-Bulk).

It has space group Pm-3m (No. 221), with a = 4.208 Å, b = 4.208 Å, c = 4.208 Å, α = 90.00°, β = 90.00° and γ = 90.00°. Symmetry generates all atoms from Fe at (0.000, 0.000, 0.000), Ni at (0.000, 0.000, 0.500) and Rh at (0.500, 0.500, 0.500).

The value obtained for the formation energy is 5.54 eV/f.u. The value obtained for the energy above the most stable polymorph in this dataset is 1133 meV/atom. For the total energy, the calculation gives -5.524 eV/atom. The total magnetic moment comes out at 5.8 μB per cell. As for the density: 7.463 g/cm3.

***

(10)
# Fe2Ni8Rh

A relaxed structure of Fe2Ni8Rh (PBE-GGA, Alexandria via LeMat-Bulk).

It has space group C2/m (No. 12), with a = 12.886 Å, b = 3.573 Å, c = 5.662 Å, α = 90.00°, β = 105.32° and γ = 90.00°. Symmetry generates all atoms from Fe at (0.140, 0.000, 0.187), Ni at (0.047, 0.000, 0.723), Ni at (0.091, 0.500, 0.458), Ni at (0.184, 0.500, 0.905), Ni at (0.228, 0.000, 0.634) and Rh at (0.000, 0.500, 0.000).

The value obtained for the formation energy is -0.48 eV/f.u. The value obtained for the energy above the most stable polymorph in this dataset is 0 meV/atom. For the total energy, the calculation gives -6.455 eV/atom. The total magnetic moment comes out at 22.9 μB per cell. As for the density: 9.037 g/cm3.

***

(11)
# FeNiRh3

A relaxed structure of FeNiRh3 (PBE-GGA, Alexandria via LeMat-Bulk).

It has space group R-3m (No. 166, hexagonal axes), with a = 5.2018 Å, b = 5.2018 Å, c = 11.6665 Å, α = 90.00°, β = 90.00° and γ = 120.00°. Symmetry generates all atoms from Fe at (0.0000, 0.0000, 0.0000), Ni at (0.0000, 0.0000, 0.5000) and Rh at (0.0000, 0.5000, 0.0000).

The value obtained for the formation energy is 4.21 eV/f.u. The value obtained for the energy above the most stable polymorph in this dataset is 0 meV/atom. For the total energy, the calculation gives -6.417 eV/atom. The total magnetic moment comes out at 17.9 μB per cell. As for the density: 7.712 g/cm3.

***

(12)
# Fe2Ni15Rh2

A relaxed structure of Fe2Ni15Rh2 (PBE-GGA, Alexandria via LeMat-Bulk).

It has space group R-3m (No. 166, hexagonal axes), with a = 8.1158 Å, b = 8.1158 Å, c = 12.2272 Å, α = 90.00°, β = 90.00° and γ = 120.00°. Symmetry generates all atoms from Fe at (0.0000, 0.0000, 0.1091), Ni at (0.0000, 0.3232, 0.5000), Ni at (0.0000, 0.5000, 0.0000), Ni at (0.0062, 0.5031, 0.6613) and Rh at (0.0000, 0.0000, 0.4006).

The value obtained for the formation energy is 4.30 eV/f.u. The value obtained for the energy above the most stable polymorph in this dataset is 46 meV/atom. For the total energy, the calculation gives -6.002 eV/atom. The total magnetic moment comes out at 1.1 μB per cell. As for the density: 8.556 g/cm3.